Density functional theory data (PBE+U) for a geometry-optimized NaSrDyFeO6 structure.

Geometry as POSCAR:
```
NaSrDyFeO6
1.0
0.0000 4.0558 4.0558
4.0558 0.0000 4.0558
4.0558 4.0558 0.0000
O Sr Na Dy Fe
6 1 1 1 1
direct
0.7294 0.2706 0.7294
0.2706 0.7294 0.2706
0.2706 0.2706 0.7294
0.2706 0.7294 0.7294
0.7294 0.7294 0.2706
0.7294 0.2706 0.2706
0.2500 0.2500 0.2500
0.7500 0.7500 0.7500
0.0000 0.0000 0.0000
0.5000 0.5000 0.5000
```

**Space-group type**: F-43m
**E_tot**: -0.4556 Ry per atom
**Total moment**: 4.036 μB/f.u.
**D(E_F)**: 3.372 states/eV per cell